<a>
DFT (PBE) results for a relaxed structure of SmHo9Th2.

Output
density of states at the Fermi level = 22.1 states/eV/f.u.
space-group type = P6/mmm, No. 191

Unit cell a=11.306 b=11.306 c=3.489 alpha=90.00 beta=90.00 gamma=120.00
Fractional coordinates of all 12 atoms:
Sm: 0.000 0.000 0.000
Ho: 0.000 0.500 0.000
Ho: 0.175 0.350 0.500
Ho: 0.175 0.825 0.500
Ho: 0.350 0.175 0.500
Ho: 0.500 0.000 0.000
Ho: 0.500 0.500 0.000
Ho: 0.650 0.825 0.500
Ho: 0.825 0.175 0.500
Ho: 0.825 0.650 0.500
Th: 0.333 0.667 0.000
Th: 0.667 0.333 0.000

***

<b>
DFT (PBE) results for a relaxed structure of SmHo9Th2.

Output
density of states at the Fermi level = 17.6 states/eV/f.u.
space-group type = P4/mmm, No. 123

Unit cell a=5.007 b=5.007 c=15.016 alpha=90.00 beta=90.00 gamma=90.00
Fractional coordinates of all 12 atoms:
Sm: 0.000 0.000 0.000
Ho: 0.000 0.500 0.169
Ho: 0.000 0.500 0.500
Ho: 0.000 0.500 0.831
Ho: 0.500 0.000 0.169
Ho: 0.500 0.000 0.500
Ho: 0.500 0.000 0.831
Ho: 0.500 0.500 0.000
Ho: 0.500 0.500 0.333
Ho: 0.500 0.500 0.667
Th: 0.000 0.000 0.334
Th: 0.000 0.000 0.666

***

So which one is most stable? That would be <b>, about 73 meV/atom below the next structure.

***

<a>
DFT (PBE) results for a relaxed structure of Sm3Ho6Th.

Output
density of states at the Fermi level = 13.8 states/eV/f.u.
space-group type = P2_1/m, No. 11

Unit cell a=13.030 b=3.524 c=14.277 alpha=90.00 beta=100.33 gamma=90.00
Fractional coordinates of all 20 atoms:
Sm: 0.076 0.250 0.101
Sm: 0.373 0.750 0.497
Sm: 0.422 0.250 0.902
Sm: 0.578 0.750 0.098
Sm: 0.627 0.250 0.503
Sm: 0.924 0.750 0.899
Ho: 0.120 0.250 0.486
Ho: 0.191 0.750 0.921
Ho: 0.220 0.750 0.287
Ho: 0.271 0.750 0.699
Ho: 0.345 0.250 0.121
Ho: 0.498 0.750 0.309
Ho: 0.502 0.250 0.691
Ho: 0.655 0.750 0.879
Ho: 0.729 0.250 0.301
Ho: 0.780 0.250 0.713
Ho: 0.809 0.250 0.079
Ho: 0.880 0.750 0.514
Th: 0.042 0.250 0.722
Th: 0.958 0.750 0.278

***

<b>
DFT (PBE) results for a relaxed structure of Sm3Ho6Th.

Output
density of states at the Fermi level = 19.7 states/eV/f.u.
space-group type = R32, No. 155

Unit cell a=6.906 b=6.906 c=6.906 alpha=91.11 beta=91.11 gamma=91.11
Fractional coordinates of all 10 atoms:
Sm: 0.000 0.000 0.000
Sm: 0.243 0.243 0.243
Sm: 0.757 0.757 0.757
Ho: 0.000 0.668 0.332
Ho: 0.172 0.500 0.828
Ho: 0.332 0.000 0.668
Ho: 0.500 0.828 0.172
Ho: 0.668 0.332 0.000
Ho: 0.828 0.172 0.500
Th: 0.500 0.500 0.500

***

So which one is most stable? That would be <a>, about 229 meV/atom below the next structure.

***

<a>
DFT (PBE) results for a relaxed structure of Sm4Ho2Th3.

Output
density of states at the Fermi level = 18.3 states/eV/f.u.
space-group type = P3m1, No. 156

Unit cell a=3.574 b=3.574 c=26.823 alpha=90.00 beta=90.00 gamma=120.00
Fractional coordinates of all 9 atoms:
Sm: 0.000 0.000 0.000
Sm: 0.000 0.000 0.218
Sm: 0.333 0.667 0.331
Sm: 0.333 0.667 0.552
Ho: 0.000 0.000 0.660
Ho: 0.000 0.000 0.875
Th: 0.000 0.000 0.441
Th: 0.333 0.667 0.108
Th: 0.333 0.667 0.770

***

<b>
DFT (PBE) results for a relaxed structure of Sm4Ho2Th3.

Output
density of states at the Fermi level = 13.5 states/eV/f.u.
space-group type = C2/m, No. 12

Unit cell a=8.002 b=8.002 c=10.769 alpha=103.48 beta=103.48 gamma=26.04
Fractional coordinates of all 9 atoms:
Sm: 0.003 0.003 0.337
Sm: 0.338 0.338 0.114
Sm: 0.662 0.662 0.886
Sm: 0.997 0.997 0.663
Ho: 0.335 0.335 0.779
Ho: 0.665 0.665 0.221
Th: 0.000 0.000 0.000
Th: 0.328 0.328 0.442
Th: 0.672 0.672 0.558

***

So which one is most stable? That would be <b>, about 43 meV/atom below the next structure.

***

<a>
DFT (PBE) results for a relaxed structure of Sm5HoTh2.

Output
density of states at the Fermi level = 13.0 states/eV/f.u.
space-group type = C2/m, No. 12

Unit cell a=8.925 b=8.925 c=3.540 alpha=101.40 beta=101.40 gamma=78.78
Fractional coordinates of all 8 atoms:
Sm: 0.000 0.000 0.000
Sm: 0.107 0.633 0.370
Sm: 0.367 0.893 0.630
Sm: 0.633 0.107 0.370
Sm: 0.893 0.367 0.630
Ho: 0.500 0.500 0.000
Th: 0.258 0.258 0.259
Th: 0.742 0.742 0.741

***

<b>
DFT (PBE) results for a relaxed structure of Sm5HoTh2.

Output
density of states at the Fermi level = 12.2 states/eV/f.u.
space-group type = I4/mcm, No. 140

Unit cell a=9.230 b=9.230 c=9.230 alpha=122.30 beta=122.30 gamma=86.06
Fractional coordinates of all 16 atoms:
Sm: 0.000 0.000 0.000
Sm: 0.010 0.510 0.196
Sm: 0.186 0.990 0.500
Sm: 0.314 0.814 0.804
Sm: 0.490 0.686 0.500
Sm: 0.500 0.500 0.000
Sm: 0.510 0.314 0.500
Sm: 0.686 0.186 0.196
Sm: 0.814 0.010 0.500
Sm: 0.990 0.490 0.804
Ho: 0.250 0.250 0.000
Ho: 0.750 0.750 0.000
Th: 0.141 0.359 0.500
Th: 0.359 0.859 0.218
Th: 0.641 0.141 0.782
Th: 0.859 0.641 0.500

***

So which one is most stable? That would be <a>, about 43 meV/atom below the next structure.

***

<a>
DFT (PBE) results for a relaxed structure of Sm3Ho2Th.

Output
density of states at the Fermi level = 10.7 states/eV/f.u.
space-group type = Ibam, No. 72

Unit cell a=8.849 b=8.849 c=8.849 alpha=102.69 beta=94.75 gamma=134.23
Fractional coordinates of all 12 atoms:
Sm: 0.017 0.750 0.267
Sm: 0.250 0.250 0.000
Sm: 0.483 0.750 0.733
Sm: 0.517 0.250 0.267
Sm: 0.750 0.750 0.000
Sm: 0.983 0.250 0.733
Ho: 0.195 0.243 0.438
Ho: 0.305 0.743 0.049
Ho: 0.695 0.257 0.951
Ho: 0.805 0.757 0.562
Th: 0.000 0.500 0.500
Th: 0.500 0.000 0.500

***

<b>
DFT (PBE) results for a relaxed structure of Sm3Ho2Th.

Output
density of states at the Fermi level = 7.5 states/eV/f.u.
space-group type = Cmc2_1, No. 36

Unit cell a=7.811 b=7.811 c=6.880 alpha=90.00 beta=90.00 gamma=105.21
Fractional coordinates of all 12 atoms:
Sm: 0.142 0.858 0.500
Sm: 0.182 0.474 0.251
Sm: 0.474 0.182 0.751
Sm: 0.526 0.818 0.251
Sm: 0.818 0.526 0.751
Sm: 0.858 0.142 0.000
Ho: 0.209 0.451 0.748
Ho: 0.451 0.209 0.248
Ho: 0.549 0.791 0.748
Ho: 0.791 0.549 0.248
Th: 0.149 0.851 0.999
Th: 0.851 0.149 0.499

***

So which one is most stable? That would be <b>, about 373 meV/atom below the next structure.

***

<a>
DFT (PBE) results for a relaxed structure of Sm4HoTh.

Output
density of states at the Fermi level = 8.4 states/eV/f.u.
space-group type = P-1, No. 2

Unit cell a=3.592 b=6.237 c=9.545 alpha=77.39 beta=79.27 gamma=73.62
Fractional coordinates of all 6 atoms:
Sm: 0.164 0.003 0.171
Sm: 0.165 0.506 0.664
Sm: 0.835 0.494 0.336
Sm: 0.836 0.997 0.829
Ho: 0.500 0.500 0.000
Th: 0.500 0.000 0.500

***

<b>
DFT (PBE) results for a relaxed structure of Sm4HoTh.

Output
density of states at the Fermi level = 10.5 states/eV/f.u.
space-group type = Cmmm, No. 65

Unit cell a=8.337 b=8.337 c=3.437 alpha=90.00 beta=90.00 gamma=91.27
Fractional coordinates of all 6 atoms:
Sm: 0.233 0.767 0.000
Sm: 0.263 0.263 0.500
Sm: 0.737 0.737 0.500
Sm: 0.767 0.233 0.000
Ho: 0.000 0.000 0.500
Th: 0.500 0.500 0.000

***

So which one is most stable? That would be <a>, about 626 meV/atom below the next structure.